DFT (PBE with a Hubbard U) results for a relaxed structure of NpCrHgO6.

Cell lengths 5.3924, 5.3924, 9.8736 Å; angles 90.00, 90.00, 120.00 degrees
Each line ends with the local moment (μB).
Fractional positions:
Np1 0.3333 0.6667 0.2500  0.23
Np2 0.6667 0.3333 0.7500  0.23
Cr1 0.6667 0.3333 0.2500  2.90
Cr2 0.3333 0.6667 0.7500  2.90
Hg1 0.0000 0.0000 0.0000  0.01
Hg2 0.0000 0.0000 0.5000  0.01
O1 0.6380 0.6361 0.1422  -0.03
O2 0.9981 0.3620 0.1422  -0.03
O3 0.3620 0.9981 0.6422  -0.03
O4 0.0019 0.6380 0.8578  -0.03
O5 0.3639 0.3620 0.3578  -0.03
O6 0.9981 0.6361 0.3578  -0.03
O7 0.6361 0.9981 0.8578  -0.03
O8 0.6380 0.0019 0.3578  -0.03
O9 0.0019 0.3639 0.6422  -0.03
O10 0.3639 0.0019 0.1422  -0.03
O11 0.6361 0.6380 0.6422  -0.03
O12 0.3620 0.3639 0.8578  -0.03

## Properties
Total magnetization ... 6.10 μB per cell
DFT total energy ... -133.59 eV for the cell shown
Calculated density ... 7.8 g cm⁻³